# 1
{"formula": "Sm4SbPd2", "functional": "PBE", "state": "relaxed", "lattice_angstrom": [[6.594, -4.427, 0.000], [6.594, 4.427, 0.000], [-6.594, 0.000, 6.610]], "species": ["Sm", "Sm", "Sm", "Sm", "Sm", "Sm", "Sm", "Sm", "Sb", "Sb", "Pd", "Pd", "Pd", "Pd"], "frac_coords": [[0.060, 0.060, 0.238], [0.326, 0.536, 0.609], [0.464, 0.674, 0.391], [0.467, 0.178, 0.891], [0.571, 0.072, 0.261], [0.822, 0.533, 0.109], [0.928, 0.429, 0.739], [0.940, 0.940, 0.762], [0.073, 0.927, 0.500], [0.323, 0.677, 0.000], [0.200, 0.306, 0.141], [0.586, 0.191, 0.640], [0.694, 0.800, 0.859], [0.809, 0.414, 0.360]], "raw_formation_energy_ev_per_atom": -0.722, "e_tot_ev_per_atom": -5.49, "m_tot_mub_per_fu": 0.0}

---

# 2
{"formula": "Y3Ag", "functional": "PBE", "state": "relaxed", "lattice_angstrom": [[6.927, 0.000, 0.000], [-3.463, 5.999, 0.000], [0.000, 0.000, 5.354]], "species": ["Y", "Y", "Y", "Y", "Y", "Y", "Ag", "Ag"], "frac_coords": [[0.173, 0.346, 0.250], [0.173, 0.827, 0.250], [0.346, 0.173, 0.750], [0.654, 0.827, 0.250], [0.827, 0.173, 0.750], [0.827, 0.654, 0.750], [0.333, 0.667, 0.750], [0.667, 0.333, 0.250]], "de_polymorph_mev_per_atom": 131, "delta_e_f_mev_per_atom": -5, "e_tot_ev_per_atom": -5.57, "m_tot_mub_per_fu": 0.0}

---

# 3
{"formula": "Nd7AsI12", "functional": "PBE", "state": "relaxed", "lattice_angstrom": [[8.088, 4.670, 3.567], [-8.088, 4.670, 3.567], [0.000, -9.339, 3.567]], "species": ["Nd", "Nd", "Nd", "Nd", "Nd", "Nd", "Nd", "As", "I", "I", "I", "I", "I", "I", "I", "I", "I", "I", "I", "I"], "frac_coords": [[0.000, 0.000, 0.000], [0.188, 0.467, 0.396], [0.396, 0.188, 0.467], [0.467, 0.396, 0.188], [0.533, 0.604, 0.812], [0.604, 0.812, 0.533], [0.812, 0.533, 0.604], [0.500, 0.500, 0.500], [0.031, 0.111, 0.346], [0.111, 0.346, 0.031], [0.188, 0.578, 0.730], [0.270, 0.812, 0.422], [0.346, 0.031, 0.111], [0.422, 0.270, 0.812], [0.578, 0.730, 0.188], [0.654, 0.969, 0.889], [0.730, 0.188, 0.578], [0.812, 0.422, 0.270], [0.889, 0.654, 0.969], [0.969, 0.889, 0.654]], "raw_formation_energy_ev_per_atom": -1.373, "e_tot_ev_per_atom": -4.20, "m_tot_mub_per_fu": 0.0}

---

no.,ρ (g/cm3)
1,8.06
2,5.59
3,5.36